No. 1
KNaHg2F8 | PBE | optimized geometry

Cell lengths 5.783, 5.783, 6.797 Å; angles 115.17, 115.17, 90.00 degrees
Fractional coordinates of all 12 atoms:
K: 0.750 0.250 0.500
Na: 0.000 0.000 0.000
Hg: 0.500 0.500 0.000
Hg: 0.250 0.750 0.500
F: 0.885 0.845 0.241
F: 0.356 0.396 0.241
F: 0.604 0.644 0.759
F: 0.155 0.115 0.759
F: 0.885 0.396 0.241
F: 0.356 0.845 0.241
F: 0.155 0.644 0.759
F: 0.604 0.115 0.759

Calculated values
spin magnetization	2.1	Bohr magnetons per cell
uncorrected formation energy	-1.628	eV/atom

***

No. 2
LiYCo | PBE | optimized geometry

Cell lengths 4.240, 4.240, 3.448 Å; angles 90.00, 90.00, 120.00 degrees
Fractional coordinates of all 3 atoms:
Co: 0.000 0.000 0.168
Li: 0.333 0.667 0.166
Y: 0.667 0.333 0.667

Calculated values
calculated formation energy	135	meV/atom
spin magnetization	0.0	Bohr magnetons per cell
offset from the most stable computed form	0.127	eV/atom

***

No. 3
Zr3HgN | PBE | optimized geometry

Cell lengths 5.865, 5.865, 5.865 Å; angles 66.48, 66.48, 66.48 degrees
Fractional coordinates of all 5 atoms:
Hg: 0.821 0.821 0.821
Zr: 0.836 0.314 0.836
Zr: 0.314 0.836 0.836
Zr: 0.836 0.836 0.314
N: 0.069 0.069 0.069

Calculated values
spin magnetization	1.2	Bohr magnetons per cell
uncorrected formation energy	0.622	eV/atom

***

No. 4
NpScGe2 | PBE | optimized geometry

Cell lengths 3.590, 3.590, 6.285 Å; angles 90.00, 90.00, 90.00 degrees
Fractional coordinates of all 4 atoms:
Np: 0.500 0.500 0.500
Sc: 0.500 0.500 0.000
Ge: 0.000 0.000 0.780
Ge: 0.000 0.000 0.220

Calculated values
calculated formation energy	-357	meV/atom
spin magnetization	4.4	Bohr magnetons per cell
offset from the most stable computed form	0.000	eV/atom

***

No. 5
Pr4BiIr2 | PBE | optimized geometry

Cell lengths 8.421, 8.421, 8.422 Å; angles 110.69, 110.64, 107.11 degrees
Fractional coordinates of all 14 atoms:
Pr: 0.901 0.216 0.316
Pr: 0.350 0.534 0.185
Pr: 0.900 0.584 0.684
Pr: 0.784 0.100 0.685
Pr: 0.416 0.099 0.315
Pr: 0.349 0.166 0.815
Pr: 0.466 0.651 0.816
Pr: 0.834 0.650 0.184
Bi: 0.250 0.750 0.500
Bi: 0.000 0.000 0.000
Ir: 0.625 0.375 0.750
Ir: 0.625 0.875 0.250
Ir: 0.625 0.374 0.250
Ir: 0.125 0.376 0.750

Calculated values
calculated formation energy	-527	meV/atom
spin magnetization	0.0	Bohr magnetons per cell

***

No. 6
CaBBr2 | PBE | optimized geometry

Cell lengths 9.409, 9.409, 9.409 Å; angles 25.74, 25.74, 25.74 degrees
Fractional coordinates of all 4 atoms:
Ca: 0.500 0.500 0.500
B: 0.000 0.000 0.000
Br: 0.892 0.892 0.892
Br: 0.108 0.108 0.108

Calculated values
spin magnetization	1.0	Bohr magnetons per cell
offset from the most stable computed form	0.000	eV/atom
uncorrected formation energy	-0.077	eV/atom

***

No. 7
Ac2PmAu2 | PBE | optimized geometry

Cell lengths 4.831, 8.039, 8.039 Å; angles 90.00, 90.00, 90.00 degrees
Fractional coordinates of all 10 atoms:
Ac: 0.000 0.667 0.333
Ac: 0.000 0.833 0.833
Ac: 0.000 0.167 0.167
Ac: 0.000 0.333 0.667
Pm: 0.500 0.500 0.000
Pm: 0.500 0.000 0.500
Au: 0.500 0.366 0.366
Au: 0.500 0.866 0.134
Au: 0.500 0.134 0.866
Au: 0.500 0.634 0.634

Calculated values
calculated formation energy	-617	meV/atom
spin magnetization	0.0	Bohr magnetons per cell
offset from the most stable computed form	0.005	eV/atom

***

No. 8
NaTe3Pb | PBE | optimized geometry

Cell lengths 5.938, 5.938, 5.938 Å; angles 90.00, 90.00, 90.00 degrees
Fractional coordinates of all 5 atoms:
Pb: 0.000 0.000 0.000
Na: 0.500 0.500 0.500
Te: 0.000 0.500 0.000
Te: 0.000 0.000 0.500
Te: 0.500 0.000 0.000

Calculated values
spin magnetization	0.0	Bohr magnetons per cell
offset from the most stable computed form	0.000	eV/atom
uncorrected formation energy	0.118	eV/atom